Entry 1:
# PmZn4Cd8

PmZn4Cd8 after structural relaxation (PBE-GGA, the Alexandria database).

The space group is I4/mmm (No. 139) and the conventional cell measures 9.6341, 9.6341 and 5.7006 Å, with angles of 90.00, 90.00 and 90.00 degrees. The inequivalent atoms are Pm at (0.0000, 0.0000, 0.0000), Zn at (0.2500, 0.2500, 0.2500), Cd at (0.0000, 0.2171, 0.5000) and Cd at (0.0000, 0.3458, 0.0000).

The density is 8197 kg/m3. Its volume is 20.35 Å³/atom. As for the formation energy from the elements: -124 meV per atom. The calculation puts the size of the total moment at 0.0 μB/f.u.

***

Entry 2:
# Pm3Zn3Cd

Pm3Zn3Cd after structural relaxation (PBE-GGA, the Alexandria database).

The space group is Imm2 (No. 44) and the conventional cell measures 3.6129, 4.6446 and 20.3545 Å, with angles of 90.00, 90.00 and 90.00 degrees. The inequivalent atoms are Pm at (0.0000, 0.0000, 0.0000), Pm at (0.0000, 0.0000, 0.3897), Pm at (0.0000, 0.5000, 0.1848), Zn at (0.0000, 0.0000, 0.5533), Zn at (0.0000, 0.0000, 0.8349), Zn at (0.0000, 0.5000, 0.6232) and Cd at (0.0000, 0.5000, 0.7581).

The density is 7231 kg/m3. Its volume is 24.40 Å³/atom. As for the formation energy from the elements: -280 meV per atom. The calculation puts the size of the total moment at 0.0 μB/f.u.

***

Entry 3:
# PmZn2Cd10

PmZn2Cd10 after structural relaxation (PBE-GGA, the Alexandria database).

The space group is Fmmm (No. 69) and the conventional cell measures 5.8404, 13.8669 and 13.8849 Å, with angles of 90.00, 90.00 and 90.00 degrees. The inequivalent atoms are Pm at (0.0000, 0.0000, 0.0000), Zn at (0.2500, 0.2500, 0.0000), Cd at (0.0000, 0.1110, 0.3954), Cd at (0.0000, 0.1780, 0.1700) and Cd at (0.2500, 0.0000, 0.2500).

The density is 8269 kg/m3. Its volume is 21.63 Å³/atom. As for the formation energy from the elements: -113 meV per atom. The calculation puts the size of the total moment at 0.0 μB/f.u.

***

Entry 4:
# Pm5Zn4Cd

Pm5Zn4Cd after structural relaxation (PBE-GGA, the Alexandria database).

The space group is P4/mmm (No. 123) and the conventional cell measures 3.6740, 3.6740 and 18.6609 Å, with angles of 90.00, 90.00 and 90.00 degrees. The inequivalent atoms are Pm at (0.0000, 0.0000, 0.0000), Pm at (0.0000, 0.0000, 0.1953), Pm at (0.0000, 0.0000, 0.3877), Zn at (0.5000, 0.5000, 0.0978), Zn at (0.5000, 0.5000, 0.2926) and Cd at (0.5000, 0.5000, 0.5000).

The density is 7245 kg/m3. Its volume is 25.19 Å³/atom. As for the formation energy from the elements: -317 meV per atom. The calculation puts the size of the total moment at 0.0 μB/f.u.

***

Entry 5:
# PmZn2Cd

PmZn2Cd after structural relaxation (PBE-GGA, the Alexandria database).

The space group is P4/mmm (No. 123) and the conventional cell measures 4.5687, 4.5687 and 4.2769 Å, with angles of 90.00, 90.00 and 90.00 degrees. The inequivalent atoms are Pm at (0.0000, 0.0000, 0.0000), Zn at (0.0000, 0.5000, 0.5000) and Cd at (0.5000, 0.5000, 0.0000).

The density is 7221 kg/m3. Its volume is 22.32 Å³/atom. As for the formation energy from the elements: -188 meV per atom. The calculation puts the size of the total moment at 0.0 μB/f.u.

***

Entry 6:
# Pm4ZnCd2

Pm4ZnCd2 after structural relaxation (PBE-GGA, the Alexandria database).

The space group is R-3m (No. 166, hexagonal axes) and the conventional cell measures 5.3061, 5.3061 and 25.6163 Å, with angles of 90.00, 90.00 and 120.00 degrees. The inequivalent atoms are Pm at (0.0000, 0.0000, 0.1227), Pm at (0.0000, 0.0000, 0.3742), Zn at (0.0000, 0.0000, 0.5000) and Cd at (0.0000, 0.0000, 0.2481).

The density is 6941 kg/m3. Its volume is 29.74 Å³/atom. As for the formation energy from the elements: -146 meV per atom. The calculation puts the size of the total moment at 0.4 μB/f.u.

***

Entry 7:
# Pm2Zn6Cd3

Pm2Zn6Cd3 after structural relaxation (PBE-GGA, the Alexandria database).

The space group is Cmmm (No. 65) and the conventional cell measures 9.7894, 10.9964 and 4.4464 Å, with angles of 90.00, 90.00 and 90.00 degrees. The inequivalent atoms are Pm at (0.2140, 0.0000, 0.0000), Zn at (0.0000, 0.1108, 0.5000), Zn at (0.1543, 0.3120, 0.5000), Cd at (0.0000, 0.2651, 0.0000) and Cd at (0.0000, 0.5000, 0.5000).

The density is 7075 kg/m3. Its volume is 21.76 Å³/atom. As for the formation energy from the elements: -117 meV per atom. The calculation puts the size of the total moment at 0.0 μB/f.u.

***

Entry 8:
# PmZnCd

PmZnCd after structural relaxation (PBE-GGA, the Alexandria database).

The space group is R-3m (No. 166, hexagonal axes) and the conventional cell measures 5.3128, 5.3128 and 18.1137 Å, with angles of 90.00, 90.00 and 120.00 degrees. The inequivalent atoms are Pm at (0.0000, 0.0000, 0.2414), Zn at (0.0000, 0.0000, 0.0697) and Cd at (0.0000, 0.0000, 0.4203).

The density is 7264 kg/m3. Its volume is 24.60 Å³/atom. As for the formation energy from the elements: -202 meV per atom. The calculation puts the size of the total moment at 0.0 μB/f.u.

***

Entry 9:
# Pm2ZnCd2

Pm2ZnCd2 after structural relaxation (PBE-GGA, the Alexandria database).

The space group is Cmmm (No. 65) and the conventional cell measures 4.8153, 15.4079 and 3.4043 Å, with angles of 90.00, 90.00 and 90.00 degrees. The inequivalent atoms are Pm at (0.0000, 0.1091, 0.0000), Zn at (0.0000, 0.5000, 0.5000) and Cd at (0.0000, 0.3023, 0.5000).

The density is 7629 kg/m3. Its volume is 25.26 Å³/atom. As for the formation energy from the elements: -230 meV per atom. The calculation puts the size of the total moment at 0.0 μB/f.u.

***

Entry 10:
# Pm4Zn3Cd

Pm4Zn3Cd after structural relaxation (PBE-GGA, the Alexandria database).

The space group is Pmmm (No. 47) and the conventional cell measures 3.7107, 5.2341 and 10.4635 Å, with angles of 90.00, 90.00 and 90.00 degrees. The inequivalent atoms are Pm at (0.0000, 0.0000, 0.0000), Pm at (0.0000, 0.0000, 0.5000), Pm at (0.0000, 0.5000, 0.2393), Zn at (0.5000, 0.0000, 0.2498), Zn at (0.5000, 0.5000, 0.0000) and Cd at (0.5000, 0.5000, 0.5000).

The density is 7261 kg/m3. Its volume is 25.40 Å³/atom. As for the formation energy from the elements: -308 meV per atom. The calculation puts the size of the total moment at 0.0 μB/f.u.

***

Entry 11:
# PmZn4Cd

PmZn4Cd after structural relaxation (PBE-GGA, the Alexandria database).

The space group is F-43m (No. 216) and the conventional cell measures 7.7009, 7.7009 and 7.7009 Å, with angles of 90.00, 90.00 and 90.00 degrees. The inequivalent atoms are Pm at (0.0000, 0.0000, 0.0000), Zn at (0.1259, 0.1259, 0.3741) and Cd at (0.2500, 0.2500, 0.7500).

The density is 7549 kg/m3. Its volume is 19.03 Å³/atom. As for the formation energy from the elements: -152 meV per atom. The calculation puts the size of the total moment at 0.0 μB/f.u.

***

Entry 12:
# Pm5Zn2Cd2

Pm5Zn2Cd2 after structural relaxation (PBE-GGA, the Alexandria database).

The space group is Cmce (No. 64) and the conventional cell measures 17.7582, 7.4900 and 7.6595 Å, with angles of 90.00, 90.00 and 90.00 degrees. The inequivalent atoms are Pm at (0.0000, 0.0000, 0.0000), Pm at (0.1324, 0.1882, 0.3163), Zn at (0.0000, 0.1141, 0.6201) and Cd at (0.2266, 0.0000, 0.0000).

The density is 7045 kg/m3. Its volume is 28.30 Å³/atom. As for the formation energy from the elements: -203 meV per atom. The calculation puts the size of the total moment at 0.0 μB/f.u.

***

Question: What is the volume in the ninth record?
Answer: 25.26 Å³/atom

***

What did the eighth record say?
# PmZnCd

PmZnCd after structural relaxation (PBE-GGA, the Alexandria database).

The space group is R-3m (No. 166, hexagonal axes) and the conventional cell measures 5.3128, 5.3128 and 18.1137 Å, with angles of 90.00, 90.00 and 120.00 degrees. The inequivalent atoms are Pm at (0.0000, 0.0000, 0.2414), Zn at (0.0000, 0.0000, 0.0697) and Cd at (0.0000, 0.0000, 0.4203).

The density is 7264 kg/m3. Its volume is 24.60 Å³/atom. As for the formation energy from the elements: -202 meV per atom. The calculation puts the size of the total moment at 0.0 μB/f.u.